A relaxed GaPbF5 crystal. Source: Alexandria, functional PBE.

CIF file:
```
data_GaPbF5
_space_group_name_H-M_alt 'P 1'
_space_group_IT_number 1
_space_group_name_Hall 'P 1'
_cell_length_a 7.5076
_cell_length_b 11.1054
_cell_length_c 11.1054
_cell_angle_alpha 83.44
_cell_angle_beta 70.24
_cell_angle_gamma 70.24
loop_
_atom_site_label
_atom_site_type_symbol
_atom_site_fract_x
_atom_site_fract_y
_atom_site_fract_z
Ga1 Ga 0.2765 0.0000 0.0000
Ga2 Ga 0.6903 0.5185 0.1494
Ga3 Ga 0.3582 0.4815 0.8506
Ga4 Ga 0.2088 0.1494 0.4815
Ga5 Ga 0.8397 0.8506 0.5185
Ga6 Ga 0.7723 0.0000 0.0000
Ga7 Ga 0.0236 0.5000 0.5000
Ga8 Ga 0.5236 0.5000 0.5000
Pb1 Pb 0.9775 0.2743 0.8176
Pb2 Pb 0.0695 0.7257 0.1824
Pb3 Pb 0.2518 0.8176 0.7257
Pb4 Pb 0.7951 0.1824 0.2743
Pb5 Pb 0.7645 0.6907 0.8274
Pb6 Pb 0.2825 0.3093 0.1726
Pb7 Pb 0.4551 0.8274 0.3093
Pb8 Pb 0.5919 0.1726 0.6907
F1 F 0.9056 0.3889 0.1926
F2 F 0.4870 0.6111 0.8074
F3 F 0.2945 0.1926 0.6111
F4 F 0.0981 0.8074 0.3889
F5 F 0.2736 0.5000 0.5000
F6 F 0.7736 0.5000 0.5000
F7 F 0.5244 0.0000 0.0000
F8 F 0.8041 0.6515 0.1402
F9 F 0.5959 0.3485 0.8598
F10 F 0.4556 0.1402 0.3485
F11 F 0.9444 0.8598 0.6515
F12 F 0.7941 0.4912 0.9693
F13 F 0.2546 0.5088 0.0307
F14 F 0.2853 0.9693 0.5088
F15 F 0.7635 0.0307 0.4912
F16 F 0.2447 0.3484 0.8601
F17 F 0.4531 0.6516 0.1399
F18 F 0.5930 0.8601 0.6516
F19 F 0.1048 0.1399 0.3484
F20 F 0.0244 0.0000 0.0000
F21 F 0.9600 0.4501 0.6772
F22 F 0.0873 0.5499 0.3228
F23 F 0.4101 0.6772 0.5499
F24 F 0.6372 0.3228 0.4501
F25 F 0.8989 0.8366 0.9186
F26 F 0.6540 0.1634 0.0814
F27 F 0.7354 0.9186 0.1634
F28 F 0.8175 0.0814 0.8366
F29 F 0.5716 0.5712 0.3333
F30 F 0.4760 0.4288 0.6667
F31 F 0.1427 0.3333 0.4288
F32 F 0.9049 0.6667 0.5712
F33 F 0.1499 0.1636 0.0812
F34 F 0.3947 0.8364 0.9188
F35 F 0.3135 0.0812 0.8364
F36 F 0.2312 0.9188 0.1636
F37 F 0.1432 0.6113 0.8074
F38 F 0.5620 0.3887 0.1926
F39 F 0.7546 0.8074 0.3887
F40 F 0.9506 0.1926 0.6113
```

## Properties
V = 14.64 Å³/atom
symmetry = No. 79
E_form (uncorrected) = -2533 meV/atom